(1)
# Rb4SmTh3S8 (PBE-GGA, relaxed)
data_Rb4SmTh3S8
_cell_length_a 8.2788
_cell_length_b 8.2788
_cell_length_c 23.3901
_cell_angle_alpha 90.00
_cell_angle_beta 90.00
_cell_angle_gamma 120.00
_symmetry_space_group_name_H-M 'R -3 m'
_symmetry_Int_Tables_number 166
_symmetry_space_group_name_Hall '-R 3 2"'
loop_
_atom_site_label
_atom_site_type_symbol
_atom_site_fract_x
_atom_site_fract_y
_atom_site_fract_z
_atom_site_occupancy
Rb1 Rb 0.0000 0.0000 0.0000 1
Rb2 Rb 0.0000 0.5000 0.0000 1
Sm1 Sm 0.0000 0.0000 0.5000 1
Th1 Th 0.0000 0.5000 0.5000 1
S1 S 0.0000 0.0000 0.2343 1
S2 S 0.0018 0.5009 0.7664 1
# Formation energy from raw total energies: -27.1 eV/f.u.
# Total energy: -5.687 eV per atom
# N(E_F): 31.6 states/eV/cell

(2)
# Rb4Sm3TiS8 (PBE-GGA, relaxed)
data_Rb4Sm3TiS8
_cell_length_a 8.1308
_cell_length_b 8.1308
_cell_length_c 23.0587
_cell_angle_alpha 90.00
_cell_angle_beta 90.00
_cell_angle_gamma 120.00
_symmetry_space_group_name_H-M 'R -3 m'
_symmetry_Int_Tables_number 166
_symmetry_space_group_name_Hall '-R 3 2"'
loop_
_atom_site_label
_atom_site_type_symbol
_atom_site_fract_x
_atom_site_fract_y
_atom_site_fract_z
_atom_site_occupancy
Rb1 Rb 0.0000 0.0000 0.0000 1
Rb2 Rb 0.0000 0.5000 0.0000 1
Sm1 Sm 0.0000 0.5000 0.5000 1
Ti1 Ti 0.0000 0.0000 0.5000 1
S1 S 0.0000 0.0000 0.2330 1
S2 S 0.0229 0.5115 0.2293 1
# Formation energy from raw total energies: -26.5 eV/f.u.
# Total energy: -5.338 eV per atom
# N(E_F): 19.0 states/eV/cell